# Li3Tc, optimized geometry, DFT PBE
data_Li3Tc
_cell_length_a 4.623
_cell_length_b 9.207
_cell_length_c 5.600
_cell_angle_alpha 90.00
_cell_angle_beta 90.00
_cell_angle_gamma 90.00
_symmetry_space_group_name_H-M 'P 1'
_symmetry_Int_Tables_number 1
loop_
_symmetry_equiv_pos_as_xyz
'x,y,z'
loop_
_atom_site_label
_atom_site_fract_x
_atom_site_fract_y
_atom_site_fract_z
_atom_site_occupancy
Li1 0.088 0.250 0.154 1
Li2 0.248 0.006 0.406 1
Li3 0.248 0.494 0.406 1
Li4 0.252 0.506 0.906 1
Li5 0.252 0.994 0.906 1
Li6 0.412 0.750 0.654 1
Li7 0.588 0.250 0.346 1
Li8 0.748 0.006 0.094 1
Li9 0.748 0.494 0.094 1
Li10 0.752 0.506 0.594 1
Li11 0.752 0.994 0.594 1
Li12 0.912 0.750 0.846 1
Tc1 0.058 0.250 0.694 1
Tc2 0.442 0.750 0.194 1
Tc3 0.558 0.250 0.806 1
Tc4 0.942 0.750 0.306 1
# E_form   256 meV/atom
# Total DFT energy (no corrections)   -60.34 eV per cell
# SG   No. 62
# Excess energy over the best structure of this formula in the dataset   97 meV/atom

---

# EuMgTl2, optimized geometry, DFT PBE
data_EuMgTl2
_cell_length_a 5.377
_cell_length_b 5.377
_cell_length_c 5.377
_cell_angle_alpha 60.00
_cell_angle_beta 60.00
_cell_angle_gamma 60.00
_symmetry_space_group_name_H-M 'P 1'
_symmetry_Int_Tables_number 1
loop_
_symmetry_equiv_pos_as_xyz
'x,y,z'
loop_
_atom_site_label
_atom_site_fract_x
_atom_site_fract_y
_atom_site_fract_z
_atom_site_occupancy
Eu1 0.000 0.000 0.000 1
Mg1 0.500 0.500 0.500 1
Tl1 0.250 0.250 0.250 1
Tl2 0.750 0.750 0.750 1
# E_form   -310 meV/atom
# Total DFT energy (no corrections)   -17.84 eV per cell
# SG   No. 225

---

# SiTe2AuI, optimized geometry, DFT PBE
data_SiTe2AuI
_cell_length_a 5.312
_cell_length_b 5.312
_cell_length_c 5.367
_cell_angle_alpha 90.00
_cell_angle_beta 90.00
_cell_angle_gamma 90.00
_symmetry_space_group_name_H-M 'P 1'
_symmetry_Int_Tables_number 1
loop_
_symmetry_equiv_pos_as_xyz
'x,y,z'
loop_
_atom_site_label
_atom_site_fract_x
_atom_site_fract_y
_atom_site_fract_z
_atom_site_occupancy
Si1 0.000 0.000 0.000 1
Te1 0.000 0.500 0.000 1
Te2 0.500 0.000 0.000 1
Au1 0.500 0.500 0.500 1
I1 0.000 0.000 0.500 1
# Total DFT energy (no corrections)   -13.36 eV per cell
# SG   No. 123
# Excess energy over the best structure of this formula in the dataset   0 meV/atom
# Formation energy from raw total energies   0.636 eV/atom

---

# NaLaPCl2, optimized geometry, DFT PBE
data_NaLaPCl2
_cell_length_a 4.787
_cell_length_b 4.787
_cell_length_c 5.484
_cell_angle_alpha 90.00
_cell_angle_beta 90.00
_cell_angle_gamma 90.00
_symmetry_space_group_name_H-M 'P 1'
_symmetry_Int_Tables_number 1
loop_
_symmetry_equiv_pos_as_xyz
'x,y,z'
loop_
_atom_site_label
_atom_site_fract_x
_atom_site_fract_y
_atom_site_fract_z
_atom_site_occupancy
Na1 0.000 0.000 0.000 1
La1 0.500 0.500 0.500 1
P1 0.000 0.000 0.500 1
Cl1 0.000 0.500 0.000 1
Cl2 0.500 0.000 0.000 1
# Total DFT energy (no corrections)   -20.22 eV per cell
# SG   No. 123
# Excess energy over the best structure of this formula in the dataset   224 meV/atom
# Formation energy from raw total energies   -0.974 eV/atom

---

# PaNbBiO6, optimized geometry, DFT PBE
data_PaNbBiO6
_cell_length_a 5.673
_cell_length_b 5.673
_cell_length_c 9.825
_cell_angle_alpha 90.00
_cell_angle_beta 90.00
_cell_angle_gamma 120.00
_symmetry_space_group_name_H-M 'P 1'
_symmetry_Int_Tables_number 1
loop_
_symmetry_equiv_pos_as_xyz
'x,y,z'
loop_
_atom_site_label
_atom_site_fract_x
_atom_site_fract_y
_atom_site_fract_z
_atom_site_occupancy
Pa1 0.333 0.667 0.250 1
Pa2 0.667 0.333 0.750 1
Nb1 0.333 0.667 0.750 1
Nb2 0.667 0.333 0.250 1
Bi1 0.000 0.000 0.000 1
Bi2 0.000 0.000 0.500 1
O1 0.018 0.366 0.638 1
O2 0.018 0.652 0.862 1
O3 0.348 0.366 0.862 1
O4 0.348 0.982 0.638 1
O5 0.366 0.018 0.138 1
O6 0.366 0.348 0.362 1
O7 0.634 0.652 0.638 1
O8 0.634 0.982 0.862 1
O9 0.652 0.018 0.362 1
O10 0.652 0.634 0.138 1
O11 0.982 0.348 0.138 1
O12 0.982 0.634 0.362 1
# Total DFT energy (no corrections)   -151.13 eV per cell
# SG   No. 163
# Formation energy from raw total energies   -2.485 eV/atom

---

# BaYMo2, optimized geometry, DFT PBE
data_BaYMo2
_cell_length_a 2.988
_cell_length_b 2.988
_cell_length_c 10.600
_cell_angle_alpha 90.00
_cell_angle_beta 90.00
_cell_angle_gamma 90.00
_symmetry_space_group_name_H-M 'P 1'
_symmetry_Int_Tables_number 1
loop_
_symmetry_equiv_pos_as_xyz
'x,y,z'
loop_
_atom_site_label
_atom_site_fract_x
_atom_site_fract_y
_atom_site_fract_z
_atom_site_occupancy
Ba1 0.000 0.000 0.000 1
Y1 0.000 0.000 0.500 1
Mo1 0.500 0.500 0.274 1
Mo2 0.500 0.500 0.726 1
# E_form   1049 meV/atom
# Total DFT energy (no corrections)   -25.85 eV per cell
# SG   No. 123
# Excess energy over the best structure of this formula in the dataset   616 meV/atom

---

# Pu5Ga2Ge5, optimized geometry, DFT PBE
data_Pu5Ga2Ge5
_cell_length_a 7.865
_cell_length_b 7.865
_cell_length_c 9.821
_cell_angle_alpha 126.89
_cell_angle_beta 126.89
_cell_angle_gamma 33.08
_symmetry_space_group_name_H-M 'P 1'
_symmetry_Int_Tables_number 1
loop_
_symmetry_equiv_pos_as_xyz
'x,y,z'
loop_
_atom_site_label
_atom_site_fract_x
_atom_site_fract_y
_atom_site_fract_z
_atom_site_occupancy
Pu1 0.000 0.000 0.000 1
Pu2 0.098 0.098 0.425 1
Pu3 0.189 0.189 0.834 1
Pu4 0.811 0.811 0.166 1
Pu5 0.902 0.902 0.575 1
Ga1 0.351 0.351 0.732 1
Ga2 0.649 0.649 0.268 1
Ge1 0.256 0.256 0.319 1
Ge2 0.439 0.439 0.142 1
Ge3 0.500 0.500 0.500 1
Ge4 0.561 0.561 0.858 1
Ge5 0.744 0.744 0.681 1
# E_form   -376 meV/atom
# Total DFT energy (no corrections)   -105.31 eV per cell
# SG   No. 12

---

# MnRh2Se6, optimized geometry, DFT PBE
data_MnRh2Se6
_cell_length_a 11.023
_cell_length_b 11.023
_cell_length_c 5.089
_cell_angle_alpha 90.00
_cell_angle_beta 90.00
_cell_angle_gamma 120.00
_symmetry_space_group_name_H-M 'P 1'
_symmetry_Int_Tables_number 1
loop_
_symmetry_equiv_pos_as_xyz
'x,y,z'
loop_
_atom_site_label
_atom_site_fract_x
_atom_site_fract_y
_atom_site_fract_z
_atom_site_occupancy
Mn1 0.000 0.000 0.000 1
Mn2 0.333 0.667 0.482 1
Mn3 0.667 0.333 0.518 1
Rh1 0.000 0.337 0.000 1
Rh2 0.000 0.663 0.000 1
Rh3 0.337 0.000 0.000 1
Rh4 0.337 0.337 0.000 1
Rh5 0.663 0.000 0.000 1
Rh6 0.663 0.663 0.000 1
Se1 0.096 0.548 0.719 1
Se2 0.111 0.223 0.744 1
Se3 0.111 0.889 0.744 1
Se4 0.218 0.436 0.263 1
Se5 0.218 0.782 0.263 1
Se6 0.223 0.111 0.256 1
Se7 0.436 0.218 0.737 1
Se8 0.452 0.548 0.719 1
Se9 0.452 0.904 0.719 1
Se10 0.548 0.096 0.281 1
Se11 0.548 0.452 0.281 1
Se12 0.564 0.782 0.263 1
Se13 0.777 0.889 0.744 1
Se14 0.782 0.218 0.737 1
Se15 0.782 0.564 0.737 1
Se16 0.889 0.111 0.256 1
Se17 0.889 0.777 0.256 1
Se18 0.904 0.452 0.281 1
# Total DFT energy (no corrections)   -143.88 eV per cell
# SG   No. 164
# Formation energy from raw total energies   -0.353 eV/atom